! LaTlIn2 | Alexandria via LeMat-Bulk | PBE | optimized geometry; values from VASP
! Calculated volume (Å³ per cell): 455
! Energy of formation from the pure elements (eV per formula unit): -1.1
! Total energy (eV/cell): -55.62
&SYSTEM
  ibrav = 0, nat = 16, ntyp = 3
/
ATOMIC_SPECIES
La 138.91 La.upf
Tl 204.38 Tl.upf
In 114.82 In.upf
CELL_PARAMETERS angstrom
7.689 0.000 0.000
0.000 7.689 0.000
0.000 0.000 7.689
ATOMIC_POSITIONS angstrom
La 0.000 0.000 0.000
La 0.000 3.844 3.844
La 3.844 0.000 3.844
La 3.844 3.844 0.000
Tl 1.922 1.922 1.922
Tl 1.922 5.767 5.767
Tl 5.767 1.922 5.767
Tl 5.767 5.767 1.922
In 0.000 0.000 3.844
In 0.000 3.844 0.000
In 1.922 1.922 5.767
In 1.922 5.767 1.922
In 3.844 0.000 0.000
In 3.844 3.844 3.844
In 5.767 1.922 1.922
In 5.767 5.767 5.767

! NaAcSb2 | Alexandria via LeMat-Bulk | PBE | optimized geometry; values from VASP
! Calculated volume (Å³ per cell): 379
! Raw formation energy (eV/atom): -0.3310
! Total energy (eV/cell): -44.99
&SYSTEM
  ibrav = 0, nat = 12, ntyp = 3
/
ATOMIC_SPECIES
Na 22.99 Na.upf
Ac 227.00 Ac.upf
Sb 121.76 Sb.upf
CELL_PARAMETERS angstrom
3.723 0.000 0.000
-1.862 3.224 0.000
0.000 0.000 31.610
ATOMIC_POSITIONS angstrom
Na 0.000 0.000 0.000
Na 0.000 2.150 21.073
Na 1.862 1.075 10.537
Ac 0.000 0.000 15.805
Ac 0.000 2.150 5.268
Ac 1.862 1.075 26.341
Sb 0.000 0.000 8.041
Sb 0.000 0.000 23.568
Sb 0.000 2.150 13.032
Sb 0.000 2.150 29.114
Sb 1.862 1.075 2.495
Sb 1.862 1.075 18.578

! KY2Tl2 | Alexandria via LeMat-Bulk | PBE | optimized geometry; values from VASP
! Calculated volume (Å³ per cell): 355
! Energy of formation from the pure elements (eV per formula unit): 0.2
! Total energy (eV/cell): -37.06
&SYSTEM
  ibrav = 0, nat = 10, ntyp = 3
/
ATOMIC_SPECIES
K 39.10 K.upf
Y 88.91 Y.upf
Tl 204.38 Tl.upf
CELL_PARAMETERS angstrom
5.012 0.000 0.000
0.000 5.012 0.000
0.000 0.000 14.119
ATOMIC_POSITIONS angstrom
K 0.000 0.000 0.000
K 2.506 2.506 7.059
Y 0.000 2.506 3.530
Y 0.000 2.506 10.589
Y 2.506 0.000 3.530
Y 2.506 0.000 10.589
Tl 0.000 0.000 5.572
Tl 0.000 0.000 8.547
Tl 2.506 2.506 1.488
Tl 2.506 2.506 12.631

! CdP2Pd8 | Alexandria via LeMat-Bulk | PBE | optimized geometry; values from VASP
! Calculated volume (Å³ per cell): 172
! Energy of formation from the pure elements (eV per formula unit): -4.7
! Total energy (eV/cell): -58.00
&SYSTEM
  ibrav = 0, nat = 11, ntyp = 3
/
ATOMIC_SPECIES
Cd 112.41 Cd.upf
P 30.97 P.upf
Pd 106.42 Pd.upf
CELL_PARAMETERS angstrom
3.699 -5.405 0.000
3.699 5.405 0.000
-1.115 0.000 4.314
ATOMIC_POSITIONS angstrom
Cd 0.000 0.000 0.000
P 3.141 1.935 2.157
P 3.141 -1.935 2.157
Pd 0.794 1.418 2.540
Pd 3.699 2.672 0.000
Pd 0.794 -1.418 2.540
Pd 2.647 0.000 0.844
Pd 3.636 0.000 3.470
Pd 5.489 1.418 1.774
Pd 3.699 -2.672 0.000
Pd 5.489 -1.418 1.774

! RbZr2TiN | Alexandria via LeMat-Bulk | PBE | optimized geometry; values from VASP
! Calculated volume (Å³ per cell): 109
! Raw formation energy (eV/atom): 0.3376
! Total energy (eV/cell): -32.60
&SYSTEM
  ibrav = 0, nat = 5, ntyp = 4
/
ATOMIC_SPECIES
Rb 85.47 Rb.upf
Zr 91.22 Zr.upf
Ti 47.87 Ti.upf
N 14.01 N.upf
CELL_PARAMETERS angstrom
4.457 0.000 0.000
0.000 4.457 0.000
0.000 0.000 5.462
ATOMIC_POSITIONS angstrom
Rb 0.000 0.000 0.000
Zr 0.000 2.229 2.731
Zr 2.229 0.000 2.731
Ti 2.229 2.229 0.000
N 0.000 0.000 2.731

! Nd2Dy2Al3 | Alexandria via LeMat-Bulk | PBE | optimized geometry; values from VASP
! Calculated volume (Å³ per cell): 372
! Energy of formation from the pure elements (eV per formula unit): -2.0
! Total energy (eV/cell): -63.97
&SYSTEM
  ibrav = 0, nat = 14, ntyp = 3
/
ATOMIC_SPECIES
Nd 144.24 Nd.upf
Dy 162.50 Dy.upf
Al 26.98 Al.upf
CELL_PARAMETERS angstrom
3.610 0.000 0.000
0.000 28.720 0.000
0.000 0.000 3.589
ATOMIC_POSITIONS angstrom
Nd 0.000 5.477 0.000
Nd 0.000 23.243 0.000
Nd 1.805 8.883 0.000
Nd 1.805 19.837 0.000
Dy 0.000 1.780 0.000
Dy 0.000 26.940 0.000
Dy 1.805 12.580 0.000
Dy 1.805 16.139 0.000
Al 0.000 10.768 1.795
Al 0.000 14.360 1.795
Al 0.000 17.951 1.795
Al 1.805 0.000 1.795
Al 1.805 3.591 1.795
Al 1.805 25.128 1.795

! Tm2Ge4Ir3Rh | Alexandria via LeMat-Bulk | PBE | optimized geometry; values from VASP
! Calculated volume (Å³ per cell): 179
! Energy of formation from the pure elements (eV per formula unit): -7.6
! Total energy (eV/cell): -68.95
&SYSTEM
  ibrav = 0, nat = 10, ntyp = 4
/
ATOMIC_SPECIES
Tm 168.93 Tm.upf
Ge 72.64 Ge.upf
Ir 192.22 Ir.upf
Rh 102.91 Rh.upf
CELL_PARAMETERS angstrom
4.189 0.000 0.000
0.000 4.189 0.000
0.000 0.000 10.186
ATOMIC_POSITIONS angstrom
Tm 0.000 2.094 2.525
Tm 2.094 0.000 7.661
Ge 0.000 0.000 0.000
Ge 0.000 2.094 6.435
Ge 2.094 0.000 3.751
Ge 2.094 2.094 0.000
Ir 0.000 2.094 8.844
Ir 2.094 0.000 1.342
Ir 2.094 2.094 5.093
Rh 0.000 0.000 5.093

! Y2IrBr | Alexandria via LeMat-Bulk | PBE | optimized geometry; values from VASP
! Calculated volume (Å³ per cell): 211
! Raw formation energy (eV/atom): -0.8583
! Total energy (eV/cell): -53.79
&SYSTEM
  ibrav = 0, nat = 8, ntyp = 3
/
ATOMIC_SPECIES
Y 88.91 Y.upf
Ir 192.22 Ir.upf
Br 79.90 Br.upf
CELL_PARAMETERS angstrom
3.616 0.000 0.000
0.000 3.751 0.000
0.000 0.000 15.525
ATOMIC_POSITIONS angstrom
Y 0.000 0.000 0.000
Y 0.000 1.876 4.593
Y 1.808 0.000 12.355
Y 1.808 1.876 7.763
Ir 0.000 0.000 6.588
Ir 1.808 1.876 14.350
Br 0.000 1.876 10.435
Br 1.808 0.000 2.673